No. 1
First-principles (GGA-PBE) data for an optimized crystal structure of AcPr2Cu, as listed in Alexandria.

## Properties
space-group type = No. 62
energy of formation from the pure elements = -0.0446 eV per atom
distance to the lowest polymorph of the same formula = 0.0 meV per atom
total energy = -0.3297 Ry per atom
M_tot = 0.00 μB per cell

Cell and atoms, written as POSCAR:
```
AcPr2Cu
1.0
-5.7209 -2.7092 2.1311
-2.2440 -0.6954 -6.9081
4.3960 -9.6425 -0.4574
Pr Ac Cu
8 4 4
Direct
0.8305 0.3141 0.5575
0.3305 0.1859 0.4425
0.1695 0.6859 0.0575
0.3305 0.1859 0.0575
0.6695 0.8141 0.5575
0.6695 0.8141 0.9425
0.1695 0.6859 0.4425
0.8305 0.3141 0.9425
0.1407 0.9716 0.7500
0.6407 0.5284 0.2500
0.3593 0.4716 0.7500
0.8593 0.0284 0.2500
0.9067 0.6027 0.7500
0.0933 0.3973 0.2500
0.4067 0.8973 0.2500
0.5933 0.1027 0.7500
```

***

No. 2
First-principles (GGA-PBE) data for an optimized crystal structure of AcPrCuRh, as listed in Alexandria.

## Properties
space-group type = No. 38
energy of formation from the pure elements = -0.4191 eV per atom
distance to the lowest polymorph of the same formula = 0.0 meV per atom
total energy = -0.4045 Ry per atom
M_tot = 0.00 μB per cell

Cell and atoms, written as POSCAR:
```
AcPrCuRh
1.0
4.0747 0.0000 0.0000
0.0000 4.5836 0.0000
-2.0374 0.0000 5.4756
Rh Cu Pr Ac
1 1 1 1
Direct
0.4199 0.0000 0.8397
0.5718 0.5000 0.1436
0.8668 0.5000 0.7336
0.1416 0.0000 0.2831
```

***

Sequential DOS at the Fermi energy output: 18.4; 2.8 states/eV per cell